1.
Density functional theory data (PBE) for a relaxed structure of InFeIr2.

Calculated values
- N(E_F) (states/eV/cell) = 18.4
- DFT formation energy (eV per atom) = 0.96
- total moment (μB/cell) = 0.0

Cell: 5.7299 5.7299 10.8102 Å, 90.00 90.00 90.00°
Last column: nearest neighbours and their distance in Å.
Space group I-42d (No. 122)
Symmetry-distinct sites (fractional):
In  0.0000  0.0000  0.0000  4 Ir 2.67
Fe  0.0000  0.0000  0.5000  4 Ir 2.24
Ir  0.1860  0.2500  0.6250  2 Fe 2.24

2.
Density functional theory data (PBE) for a relaxed structure of IrRhN2O.

Calculated values
- raw formation energy (eV/atom) = 1.608
- N(E_F) (states/eV/cell) = 4.9
- total moment (μB/cell) = 0.0

Cell: 3.8123 3.8123 3.9868 Å, 90.00 90.00 90.00°
Last column: nearest neighbours and their distance in Å.
Space group P4/mmm (No. 123)
Symmetry-distinct sites (fractional):
Ir  0.0000  0.0000  0.0000  4 O 2.70, 8 N 2.76
Rh  0.5000  0.5000  0.5000  4 N 1.91, 2 O 1.99
N  0.0000  0.5000  0.5000  2 Rh 1.91
O  0.5000  0.5000  0.0000  2 Rh 1.99

3.
Density functional theory data (PBE) for a relaxed structure of SiSnCl2.

Calculated values
- raw formation energy (eV/atom) = -0.083
- N(E_F) (states/eV/cell) = 6.0
- total moment (μB/cell) = 0.0

Cell: 3.3985 3.3985 28.6209 Å, 90.00 90.00 120.00°
Last column: nearest neighbours and their distance in Å.
Space group R-3m (No. 166, hexagonal axes)
Symmetry-distinct sites (fractional):
Si  0.0000  0.0000  0.0000  6 Cl 2.81
Sn  0.0000  0.0000  0.5000  2 Cl 2.76
Cl  0.0000  0.0000  0.4035  1 Sn 2.76, 3 Si 2.81